BaLa2Cu: optimized geometry, PBE-GGA.

Results
D(E_F) (states/eV per cell): 22.05
Total energy (eV per cell): -46.4
Total moment (μB/f.u.): 0.00
Energy relative to the elements (eV/atom): 0.10
Polymorph energy (0 for the lowest one) (eV per atom): 0.0871

CIF file:
```
data_BaLa2Cu
_chemical_formula_sum 'Ba3 La6 Cu3'
_cell_length_a 4.0667
_cell_length_b 4.0667
_cell_length_c 31.7544
_cell_angle_alpha 90.00
_cell_angle_beta 90.00
_cell_angle_gamma 120.00
_symmetry_space_group_name_H-M 'R -3 m'
_symmetry_Int_Tables_number 166
_symmetry_space_group_name_Hall '-R 3 2"'
loop_
_atom_site_label
_atom_site_type_symbol
_atom_site_fract_x
_atom_site_fract_y
_atom_site_fract_z
Ba1 Ba 0.0000 0.0000 0.0000
La1 La 0.0000 0.0000 0.2236
Cu1 Cu 0.0000 0.0000 0.5000
```